ErSiRuRh: optimized geometry, PBE-GGA.

Calculated values
The total energy comes out at -7.327 eV/atom. The value obtained for the density of states at the Fermi level is 0.92 states/eV/f.u. For the total moment, the calculation gives 0.0 μB per cell. The calculation puts the energy relative to the elements, uncorrected at -260.0 kJ/mol of formula units.

abc: 6.3136 6.3136 6.3136
angles: 90.00 90.00 90.00
Space group F-43m (No. 216)
One atom of each set of equivalent atoms:
Er 0.0000 0.0000 0.0000
Si 0.0000 0.0000 0.5000
Ru 0.2500 0.2500 0.7500
Rh 0.2500 0.2500 0.2500